First-principles (GGA-PBEsol) data for an optimized crystal structure of FeBr2Cl, as listed in the Alexandria database.

Calculated values
Formation energy without anion corrections: -0.072 eV per atom
DOS at the Fermi energy: 16.357 states/eV/cell
E above lowest polymorph: 34.80 kJ/mol of atoms
Energy: -15.0 eV per formula unit

Cell lengths 3.5065, 3.5065, 21.5599 Å; angles 90.00, 90.00, 120.00 degrees
Last column: nearest neighbours and their distance in Å.
Space group R-3m (No. 166, hexagonal axes)
Asymmetric unit:
Fe 0.0000 0.0000 0.0000  6 Br 2.42
Br 0.0000 0.0000 0.2723  3 Fe 2.42
Cl 0.0000 0.0000 0.5000  6 Br 3.05